# CsMn2SiBi (meta-GGA SCAN, single point on PBEsol structure)
data_CsMn2SiBi
_space_group_name_H-M_alt 'P 4/m m m'
_space_group_IT_number 123
_space_group_name_Hall '-P 4 2'
_cell_length_a 5.017
_cell_length_b 5.017
_cell_length_c 6.142
_cell_angle_alpha 90.00
_cell_angle_beta 90.00
_cell_angle_gamma 90.00
loop_
_atom_site_label
_atom_site_type_symbol
_atom_site_fract_x
_atom_site_fract_y
_atom_site_fract_z
_atom_site_occupancy
Cs1 Cs 0.000 0.000 0.000 1
Mn1 Mn 0.000 0.500 0.000 1
Si1 Si 0.500 0.500 0.500 1
Bi1 Bi 0.000 0.000 0.500 1
# ΔE_f (raw)	2.236	eV per atom
# crystal system	tetragonal
# magnetic moment	8.9	Bohr magnetons per cell
# VASP energy	-30.35	eV per atom



# CsBiMo3 (meta-GGA SCAN, single point on PBEsol structure)
data_CsBiMo3
_space_group_name_H-M_alt 'P m -3 m'
_space_group_IT_number 221
_space_group_name_Hall '-P 4 2 3'
_cell_length_a 4.910
_cell_length_b 4.910
_cell_length_c 4.910
_cell_angle_alpha 90.00
_cell_angle_beta 90.00
_cell_angle_gamma 90.00
loop_
_atom_site_label
_atom_site_type_symbol
_atom_site_fract_x
_atom_site_fract_y
_atom_site_fract_z
_atom_site_occupancy
Cs1 Cs 0.000 0.000 0.000 1
Bi1 Bi 0.500 0.500 0.500 1
Mo1 Mo 0.000 0.000 0.500 1
# calculated formation energy	3189	meV/atom
# crystal system	cubic
# magnetic moment	3.3	Bohr magnetons per cell
# VASP energy	-41.02	eV per atom



# CsBiMo2N (meta-GGA SCAN, single point on PBEsol structure)
data_CsBiMo2N
_space_group_name_H-M_alt 'P 4/m m m'
_space_group_IT_number 123
_space_group_name_Hall '-P 4 2'
_cell_length_a 4.230
_cell_length_b 4.230
_cell_length_c 5.684
_cell_angle_alpha 90.00
_cell_angle_beta 90.00
_cell_angle_gamma 90.00
loop_
_atom_site_label
_atom_site_type_symbol
_atom_site_fract_x
_atom_site_fract_y
_atom_site_fract_z
_atom_site_occupancy
Cs1 Cs 0.000 0.000 0.000 1
Bi1 Bi 0.500 0.500 0.000 1
Mo1 Mo 0.000 0.500 0.500 1
N1 N 0.000 0.000 0.500 1
# ΔE_f (raw)	1.201	eV per atom
# crystal system	tetragonal
# magnetic moment	0.0	Bohr magnetons per cell
# VASP energy	-37.89	eV per atom



# CsBiMoS2 (meta-GGA SCAN, single point on PBEsol structure)
data_CsBiMoS2
_space_group_name_H-M_alt 'P 4/m m m'
_space_group_IT_number 123
_space_group_name_Hall '-P 4 2'
_cell_length_a 4.807
_cell_length_b 4.807
_cell_length_c 5.455
_cell_angle_alpha 90.00
_cell_angle_beta 90.00
_cell_angle_gamma 90.00
loop_
_atom_site_label
_atom_site_type_symbol
_atom_site_fract_x
_atom_site_fract_y
_atom_site_fract_z
_atom_site_occupancy
Cs1 Cs 0.000 0.000 0.000 1
Bi1 Bi 0.500 0.500 0.000 1
Mo1 Mo 0.500 0.500 0.500 1
S1 S 0.000 0.500 0.500 1
# ΔE_f (raw)	-0.196	eV per atom
# crystal system	tetragonal
# magnetic moment	0.0	Bohr magnetons per cell
# VASP energy	-34.30	eV per atom



# CsBiTe2Mo (meta-GGA SCAN, single point on PBEsol structure)
data_CsBiTe2Mo
_space_group_name_H-M_alt 'P 4/m m m'
_space_group_IT_number 123
_space_group_name_Hall '-P 4 2'
_cell_length_a 5.451
_cell_length_b 5.451
_cell_length_c 5.381
_cell_angle_alpha 90.00
_cell_angle_beta 90.00
_cell_angle_gamma 90.00
loop_
_atom_site_label
_atom_site_type_symbol
_atom_site_fract_x
_atom_site_fract_y
_atom_site_fract_z
_atom_site_occupancy
Cs1 Cs 0.000 0.000 0.000 1
Bi1 Bi 0.500 0.500 0.000 1
Te1 Te 0.000 0.500 0.500 1
Mo1 Mo 0.500 0.500 0.500 1
# ΔE_f (raw)	0.036	eV per atom
# crystal system	tetragonal
# magnetic moment	0.0	Bohr magnetons per cell
# VASP energy	-45.12	eV per atom



# Cs2BiSeN (meta-GGA SCAN, single point on PBEsol structure)
data_Cs2BiSeN
_space_group_name_H-M_alt 'P 4/m m m'
_space_group_IT_number 123
_space_group_name_Hall '-P 4 2'
_cell_length_a 7.321
_cell_length_b 7.321
_cell_length_c 5.483
_cell_angle_alpha 90.00
_cell_angle_beta 90.00
_cell_angle_gamma 90.00
loop_
_atom_site_label
_atom_site_type_symbol
_atom_site_fract_x
_atom_site_fract_y
_atom_site_fract_z
_atom_site_occupancy
Cs1 Cs 0.000 0.500 0.000 1
Bi1 Bi 0.000 0.000 0.000 1
Se1 Se 0.000 0.000 0.500 1
N1 N 0.500 0.500 0.500 1
# ΔE_f (raw)	0.568	eV per atom
# crystal system	tetragonal
# magnetic moment	2.5	Bohr magnetons per cell
# VASP energy	-36.15	eV per atom



# CsBiTeN2 (meta-GGA SCAN, single point on PBEsol structure)
data_CsBiTeN2
_space_group_name_H-M_alt 'P 4/m m m'
_space_group_IT_number 123
_space_group_name_Hall '-P 4 2'
_cell_length_a 4.908
_cell_length_b 4.908
_cell_length_c 5.972
_cell_angle_alpha 90.00
_cell_angle_beta 90.00
_cell_angle_gamma 90.00
loop_
_atom_site_label
_atom_site_type_symbol
_atom_site_fract_x
_atom_site_fract_y
_atom_site_fract_z
_atom_site_occupancy
Cs1 Cs 0.000 0.000 0.000 1
Bi1 Bi 0.500 0.500 0.500 1
Te1 Te 0.500 0.500 0.000 1
N1 N 0.000 0.500 0.500 1
# ΔE_f (raw)	1.061	eV per atom
# crystal system	tetragonal
# magnetic moment	3.8	Bohr magnetons per cell
# VASP energy	-33.38	eV per atom



# CsBiTeN2 (meta-GGA SCAN, single point on PBEsol structure)
data_CsBiTeN2
_space_group_name_H-M_alt 'P 4/m m m'
_space_group_IT_number 123
_space_group_name_Hall '-P 4 2'
_cell_length_a 4.529
_cell_length_b 4.529
_cell_length_c 7.020
_cell_angle_alpha 90.00
_cell_angle_beta 90.00
_cell_angle_gamma 90.00
loop_
_atom_site_label
_atom_site_type_symbol
_atom_site_fract_x
_atom_site_fract_y
_atom_site_fract_z
_atom_site_occupancy
Cs1 Cs 0.000 0.000 0.000 1
Bi1 Bi 0.500 0.500 0.500 1
Te1 Te 0.000 0.000 0.500 1
N1 N 0.000 0.500 0.000 1
# ΔE_f (raw)	2.104	eV per atom
# crystal system	tetragonal
# magnetic moment	2.3	Bohr magnetons per cell
# VASP energy	-32.34	eV per atom



# CsNa2Bi2 (meta-GGA SCAN, single point on PBEsol structure)
data_CsNa2Bi2
_space_group_name_H-M_alt 'I 4/m m m'
_space_group_IT_number 139
_space_group_name_Hall '-I 4 2'
_cell_length_a 5.473
_cell_length_b 5.473
_cell_length_c 12.774
_cell_angle_alpha 90.00
_cell_angle_beta 90.00
_cell_angle_gamma 90.00
loop_
_atom_site_label
_atom_site_type_symbol
_atom_site_fract_x
_atom_site_fract_y
_atom_site_fract_z
_atom_site_occupancy
Cs1 Cs 0.000 0.000 0.000 1
Na1 Na 0.000 0.500 0.250 1
Bi1 Bi 0.000 0.000 0.386 1
# calculated formation energy	-376	meV/atom
# crystal system	tetragonal
# magnetic moment	1.3	Bohr magnetons per cell
# VASP energy	-41.06	eV per atom



# CsNa2Bi2 (meta-GGA SCAN, single point on PBEsol structure)
data_CsNa2Bi2
_space_group_name_H-M_alt 'P 4/m b m'
_space_group_IT_number 127
_space_group_name_Hall '-P 4 2ab'
_cell_length_a 9.822
_cell_length_b 9.822
_cell_length_c 3.420
_cell_angle_alpha 90.00
_cell_angle_beta 90.00
_cell_angle_gamma 90.00
loop_
_atom_site_label
_atom_site_type_symbol
_atom_site_fract_x
_atom_site_fract_y
_atom_site_fract_z
_atom_site_occupancy
Cs1 Cs 0.000 0.000 0.000 1
Na1 Na 0.128 0.372 0.000 1
Bi1 Bi 0.162 0.662 0.500 1
# calculated formation energy	-384	meV/atom
# crystal system	tetragonal
# magnetic moment	0.0	Bohr magnetons per cell
# VASP energy	-41.06	eV per atom



# CsNaBi3 (meta-GGA SCAN, single point on PBEsol structure)
data_CsNaBi3
_space_group_name_H-M_alt 'P m -3 m'
_space_group_IT_number 221
_space_group_name_Hall '-P 4 2 3'
_cell_length_a 5.670
_cell_length_b 5.670
_cell_length_c 5.670
_cell_angle_alpha 90.00
_cell_angle_beta 90.00
_cell_angle_gamma 90.00
loop_
_atom_site_label
_atom_site_type_symbol
_atom_site_fract_x
_atom_site_fract_y
_atom_site_fract_z
_atom_site_occupancy
Cs1 Cs 0.000 0.000 0.000 1
Na1 Na 0.500 0.500 0.500 1
Bi1 Bi 0.000 0.500 0.500 1
# calculated formation energy	164	meV/atom
# crystal system	cubic
# magnetic moment	0.0	Bohr magnetons per cell
# VASP energy	-55.39	eV per atom



# CsNa3Bi (meta-GGA SCAN, single point on PBEsol structure)
data_CsNa3Bi
_space_group_name_H-M_alt 'P m -3 m'
_space_group_IT_number 221
_space_group_name_Hall '-P 4 2 3'
_cell_length_a 6.164
_cell_length_b 6.164
_cell_length_c 6.164
_cell_angle_alpha 90.00
_cell_angle_beta 90.00
_cell_angle_gamma 90.00
loop_
_atom_site_label
_atom_site_type_symbol
_atom_site_fract_x
_atom_site_fract_y
_atom_site_fract_z
_atom_site_occupancy
Cs1 Cs 0.000 0.000 0.000 1
Na1 Na 0.000 0.500 0.500 1
Bi1 Bi 0.500 0.500 0.500 1
# calculated formation energy	-246	meV/atom
# crystal system	cubic
# magnetic moment	0.5	Bohr magnetons per cell
# VASP energy	-26.05	eV per atom



# CsYNiBi2 (meta-GGA SCAN, single point on PBEsol structure)
data_CsYNiBi2
_space_group_name_H-M_alt 'P 4/m m m'
_space_group_IT_number 123
_space_group_name_Hall '-P 4 2'
_cell_length_a 6.087
_cell_length_b 6.087
_cell_length_c 4.671
_cell_angle_alpha 90.00
_cell_angle_beta 90.00
_cell_angle_gamma 90.00
loop_
_atom_site_label
_atom_site_type_symbol
_atom_site_fract_x
_atom_site_fract_y
_atom_site_fract_z
_atom_site_occupancy
Cs1 Cs 0.000 0.000 0.000 1
Y1 Y 0.500 0.500 0.500 1
Ni1 Ni 0.000 0.000 0.500 1
Bi1 Bi 0.000 0.500 0.000 1
# calculated formation energy	1291	meV/atom
# crystal system	tetragonal
# magnetic moment	0.0	Bohr magnetons per cell
# VASP energy	-46.51	eV per atom



# CsBiO2 (meta-GGA SCAN, single point on PBEsol structure)
data_CsBiO2
_space_group_name_H-M_alt 'R -3 m'
_space_group_IT_number 166
_space_group_name_Hall '-R 3 2"'
_cell_length_a 3.6605
_cell_length_b 3.6605
_cell_length_c 23.1117
_cell_angle_alpha 90.00
_cell_angle_beta 90.00
_cell_angle_gamma 120.00
loop_
_atom_site_label
_atom_site_type_symbol
_atom_site_fract_x
_atom_site_fract_y
_atom_site_fract_z
_atom_site_occupancy
Cs1 Cs 0.0000 0.0000 0.0000 1
Bi1 Bi 0.0000 0.0000 0.5000 1
O1 O 0.0000 0.0000 0.1150 1
# ΔE_f (raw)	-0.961	eV per atom
# crystal system	trigonal
# magnetic moment	0.0	Bohr magnetons per cell
# VASP energy	-33.17	eV per atom